# PBE Ba2ZnTe2F2, optimized geometry
data_Ba2ZnTe2F2
_cell_length_a 4.4190
_cell_length_b 4.4190
_cell_length_c 9.5964
_cell_angle_alpha 90.00
_cell_angle_beta 90.00
_cell_angle_gamma 90.00
_space_group_name_H-M_alt 'P -4 m 2'
_space_group_IT_number 115
_space_group_name_Hall 'P -4 -2'
loop_
_atom_site_label
_atom_site_fract_x
_atom_site_fract_y
_atom_site_fract_z
_atom_site_occupancy
Ba1 0.0000 0.5000 0.1566 1
Zn1 0.0000 0.0000 0.5000 1
Te1 0.0000 0.5000 0.6609 1
F1 0.0000 0.0000 0.0000 1
F2 0.5000 0.5000 0.0000 1
# DFT total energy   -31.13 eV/f.u.


# PBE RbYFeTe3, optimized geometry
data_RbYFeTe3
_cell_length_a 10.1776
_cell_length_b 4.2908
_cell_length_c 10.4297
_cell_angle_alpha 90.00
_cell_angle_beta 110.72
_cell_angle_gamma 90.00
_space_group_name_H-M_alt 'P 1 21/m 1'
_space_group_IT_number 11
_space_group_name_Hall '-P 2yb'
loop_
_atom_site_label
_atom_site_fract_x
_atom_site_fract_y
_atom_site_fract_z
_atom_site_occupancy
Rb1 0.2059 0.2500 0.2346 1
Y1 0.3322 0.7500 0.8563 1
Fe1 0.0667 0.2500 0.5794 1
Te1 0.1112 0.2500 0.8456 1
Te2 0.2080 0.7500 0.5337 1
Te3 0.4639 0.7500 0.1687 1
# DFT total energy   -30.56 eV/f.u.
# Total magnetic moment   7.5 μB per cell


# PBE CdHgTe2, optimized geometry
data_CdHgTe2
_cell_length_a 6.6213
_cell_length_b 6.6213
_cell_length_c 13.2139
_cell_angle_alpha 90.00
_cell_angle_beta 90.00
_cell_angle_gamma 90.00
_space_group_name_H-M_alt 'I -4 2 d'
_space_group_IT_number 122
_space_group_name_Hall 'I -4 2bw'
loop_
_atom_site_label
_atom_site_fract_x
_atom_site_fract_y
_atom_site_fract_z
_atom_site_occupancy
Cd1 0.0000 0.0000 0.0000 1
Hg1 0.0000 0.0000 0.5000 1
Te1 0.2480 0.7500 0.1250 1
# DFT total energy   -8.75 eV/f.u.
# Energy relative to the lowest polymorph listed for this composition   0 meV/atom